# TlCd2P

A geometry-optimized TlCd2P structure (PBE, Alexandria).

The space group is Pm (No. 6) and the conventional cell measures 5.153, 4.172 and 5.711 Å, with angles of 90.00, 116.75 and 90.00 degrees. The asymmetric unit holds Tl at (0.000, 0.000, 0.000), Cd at (0.378, 0.500, 0.759), Cd at (0.638, 0.000, 0.277) and P at (0.796, 0.500, 0.595).

The value obtained for the formation enthalpy at 0 K is 0.1002 eV per atom.